This record from the Alexandria database describes a geometry-optimized Ba2CuAu2 structure. The functional is PBE.

Cell: 6.0188 6.0188 6.0188 Å, 116.08 116.08 96.94°
With the nearest neighbours (Å) after each atom.
Fractional positions:
Ba 0.2500 0.7500 0.5000  4 Au 3.24
Ba 0.7500 0.2500 0.5000  4 Au 3.24
Cu 0.0000 0.0000 0.0000  2 Au 2.61
Au 0.3269 0.3269 0.0000  1 Cu 2.61, 1 Au 2.76
Au 0.6731 0.6731 0.0000  1 Cu 2.61, 1 Au 2.76

Output
E above lowest polymorph   0.171 eV per atom
Formation enthalpy at 0 K   -35.4 kJ/mol of atoms
Energy   -3.266 eV per atom

***

This record from the Alexandria database describes a geometry-optimized BaCu2Au2 structure. The functional is PBE.

Cell: 6.2486 6.2486 6.2486 Å, 136.97 136.97 62.48°
With the nearest neighbours (Å) after each atom.
Fractional positions:
Ba 0.0000 0.0000 0.0000  8 Cu 3.52, 10 Au 3.53-3.94
Cu 0.2500 0.7500 0.5000  4 Au 2.62
Cu 0.7500 0.2500 0.5000  4 Au 2.62
Au 0.3684 0.3684 0.0000  4 Cu 2.62, 1 Au 2.81
Au 0.6316 0.6316 0.0000  4 Cu 2.62, 1 Au 2.81

Output
E above lowest polymorph   0.000 eV per atom
Formation enthalpy at 0 K   -27.5 kJ/mol of atoms
Energy   -3.619 eV per atom

***

This record from the Alexandria database describes a geometry-optimized Ba12CuAu5 structure. The functional is PBE.

Cell: 8.3463 8.3463 15.4682 Å, 90.02 90.02 121.18°
With the nearest neighbours (Å) after each atom.
Fractional positions:
Ba 0.0021 0.6716 0.8857  1 Cu 3.27, 2 Au 3.28-3.30
Ba 0.1640 0.1640 0.3849  3 Au 3.28-3.30
Ba 0.1691 0.5023 0.6155  3 Au 3.28-3.30
Ba 0.3284 0.9979 0.1143  1 Cu 3.27, 2 Au 3.28-3.30
Ba 0.3317 0.3317 0.8860  1 Cu 3.24, 2 Au 3.30
Ba 0.4977 0.8309 0.3845  3 Au 3.28-3.30
Ba 0.5023 0.1691 0.6155  3 Au 3.28-3.30
Ba 0.6683 0.6683 0.1140  1 Cu 3.24, 2 Au 3.30
Ba 0.6716 0.0021 0.8857  1 Cu 3.27, 2 Au 3.28-3.30
Ba 0.8309 0.4977 0.3845  3 Au 3.28-3.30
Ba 0.8360 0.8360 0.6151  3 Au 3.28-3.30
Ba 0.9979 0.3284 0.1143  1 Cu 3.27, 2 Au 3.28-3.30
Cu 0.0000 0.0000 0.0000  6 Ba 3.24-3.27
Au 0.1668 0.8332 0.5000  6 Ba 3.28-3.30
Au 0.3334 0.6666 0.0000  6 Ba 3.28-3.30
Au 0.5000 0.5000 0.5000  6 Ba 3.28-3.30
Au 0.6666 0.3334 0.0000  6 Ba 3.28-3.30
Au 0.8332 0.1668 0.5000  6 Ba 3.28-3.30

Output
Formation enthalpy at 0 K   -39.5 kJ/mol of atoms
Energy   -2.829 eV per atom

***

Please write out number 3 again, unchanged.
This record from the Alexandria database describes a geometry-optimized Ba12CuAu5 structure. The functional is PBE.

Cell: 8.3463 8.3463 15.4682 Å, 90.02 90.02 121.18°
With the nearest neighbours (Å) after each atom.
Fractional positions:
Ba 0.0021 0.6716 0.8857  1 Cu 3.27, 2 Au 3.28-3.30
Ba 0.1640 0.1640 0.3849  3 Au 3.28-3.30
Ba 0.1691 0.5023 0.6155  3 Au 3.28-3.30
Ba 0.3284 0.9979 0.1143  1 Cu 3.27, 2 Au 3.28-3.30
Ba 0.3317 0.3317 0.8860  1 Cu 3.24, 2 Au 3.30
Ba 0.4977 0.8309 0.3845  3 Au 3.28-3.30
Ba 0.5023 0.1691 0.6155  3 Au 3.28-3.30
Ba 0.6683 0.6683 0.1140  1 Cu 3.24, 2 Au 3.30
Ba 0.6716 0.0021 0.8857  1 Cu 3.27, 2 Au 3.28-3.30
Ba 0.8309 0.4977 0.3845  3 Au 3.28-3.30
Ba 0.8360 0.8360 0.6151  3 Au 3.28-3.30
Ba 0.9979 0.3284 0.1143  1 Cu 3.27, 2 Au 3.28-3.30
Cu 0.0000 0.0000 0.0000  6 Ba 3.24-3.27
Au 0.1668 0.8332 0.5000  6 Ba 3.28-3.30
Au 0.3334 0.6666 0.0000  6 Ba 3.28-3.30
Au 0.5000 0.5000 0.5000  6 Ba 3.28-3.30
Au 0.6666 0.3334 0.0000  6 Ba 3.28-3.30
Au 0.8332 0.1668 0.5000  6 Ba 3.28-3.30

Output
Formation enthalpy at 0 K   -39.5 kJ/mol of atoms
Energy   -2.829 eV per atom